Entry 1:
First-principles (GGA-PBE) data for an optimized crystal structure of YEr3Pd6, as listed in the Alexandria database.

Lattice parameters (Å, degrees): 8.058 4.623 11.233 90.00 104.16 90.00
Space group P2_1/m (No. 11)
One atom of each set of equivalent atoms:
Y (0.094, 0.250, 0.408)
Er (0.191, 0.250, 0.993)
Er (0.363, 0.750, 0.815)
Er (0.486, 0.750, 0.377)
Pd (0.044, 0.750, 0.851)
Pd (0.145, 0.750, 0.185)
Pd (0.154, 0.250, 0.704)
Pd (0.273, 0.750, 0.557)
Pd (0.334, 0.250, 0.252)
Pd (0.439, 0.750, 0.082)

- total magnetic moment (μB per cell) = 0.00
- formation enthalpy at 0 K (eV/atom) = -0.879


Entry 2:
First-principles (GGA-PBE) data for an optimized crystal structure of Ac3Pr4Y, as listed in the Alexandria database.

Lattice parameters (Å, degrees): 5.393 10.737 10.733 90.00 90.00 90.00
Space group Pmmn (No. 59, origin choice 2)
One atom of each set of equivalent atoms:
Ac (0.250, 0.004, 0.131)
Ac (0.250, 0.250, 0.869)
Pr (0.250, 0.250, 0.379)
Pr (0.250, 0.504, 0.619)
Pr (0.250, 0.750, 0.384)
Y (0.250, 0.750, 0.866)

- ΔE to the lowest computed polymorph (meV per atom) = 0
- total magnetic moment (μB per cell) = 0.00
- formation enthalpy at 0 K (eV/atom) = 0.030


Entry 3:
First-principles (GGA-PBE) data for an optimized crystal structure of Zn3P2O8, as listed in the Alexandria database.

Lattice parameters (Å, degrees): 8.350 5.660 15.611 90.00 104.42 90.00
Space group C2/c (No. 15)
One atom of each set of equivalent atoms:
Zn (0.000, 0.243, 0.250)
Zn (0.218, 0.053, 0.933)
P (0.167, 0.070, 0.628)
O (0.001, 0.023, 0.147)
O (0.130, 0.309, 0.580)
O (0.200, 0.427, 0.285)
O (0.215, 0.109, 0.061)

- ΔE to the lowest computed polymorph (meV per atom) = 0
- total magnetic moment (μB per cell) = 0.00
- formation energy without anion corrections (eV per atom) = -1.94


Entry 4:
First-principles (GGA-PBE) data for an optimized crystal structure of Li2VCu, as listed in the Alexandria database.

Lattice parameters (Å, degrees): 6.953 6.953 5.167 90.00 90.00 90.00
Space group I-42d (No. 122)
One atom of each set of equivalent atoms:
Li (0.218, 0.250, 0.125)
V (0.000, 0.000, 0.500)
Cu (0.000, 0.000, 0.000)

- ΔE to the lowest computed polymorph (meV per atom) = 338
- total magnetic moment (μB per cell) = 13.91
- formation enthalpy at 0 K (eV/atom) = 0.595


Entry 5:
First-principles (GGA-PBE) data for an optimized crystal structure of AcPr2Pb3, as listed in the Alexandria database.

Lattice parameters (Å, degrees): 9.026 16.552 6.408 90.00 121.29 90.00
Space group C2/c (No. 15)
One atom of each set of equivalent atoms:
Ac (0.000, 0.074, 0.250)
Pr (0.000, 0.234, 0.750)
Pr (0.000, 0.411, 0.250)
Pb (0.213, 0.411, 0.950)
Pb (0.250, 0.250, 0.500)

- total magnetic moment (μB per cell) = 0.00
- formation enthalpy at 0 K (eV/atom) = -0.479


Entry 6:
First-principles (GGA-PBE) data for an optimized crystal structure of SiOs2Ru2, as listed in the Alexandria database.

Lattice parameters (Å, degrees): 3.478 3.478 13.098 90.00 90.00 90.00
Space group I4/mmm (No. 139)
One atom of each set of equivalent atoms:
Si (0.000, 0.000, 0.000)
Os (0.000, 0.500, 0.250)
Ru (0.000, 0.000, 0.403)

- ΔE to the lowest computed polymorph (meV per atom) = 35
- total magnetic moment (μB per cell) = 0.00
- formation energy without anion corrections (eV per atom) = 0.56


Entry 7:
First-principles (GGA-PBE) data for an optimized crystal structure of Th2Pa2SiOs4, as listed in the Alexandria database.

Lattice parameters (Å, degrees): 6.417 6.417 9.216 90.00 90.00 90.00
Space group I4/mmm (No. 139)
One atom of each set of equivalent atoms:
Th (0.000, 0.500, 0.250)
Pa (0.000, 0.000, 0.187)
Si (0.000, 0.000, 0.500)
Os (0.239, 0.239, 0.000)

- total magnetic moment (μB per cell) = 0.00
- formation energy without anion corrections (eV per atom) = -0.09


Entry 8:
First-principles (GGA-PBE) data for an optimized crystal structure of NbInGa, as listed in the Alexandria database.

Lattice parameters (Å, degrees): 4.7581 4.7581 2.8667 90.00 90.00 120.00
Space group P-6m2 (No. 187)
One atom of each set of equivalent atoms:
Nb (0.0000, 0.0000, 0.0000)
In (0.3333, 0.6667, 0.5000)
Ga (0.6667, 0.3333, 0.5000)

- total magnetic moment (μB per cell) = 0.00
- formation enthalpy at 0 K (eV/atom) = 0.117


Going through the records in order, we get E_tot values of -120.19 -75.34 -318.08 -58.65 -110.66 -87.30 -170.00 -15.49 eV for the cell shown.